Entry 1:
# Ca6Ge7Au15 (meta-GGA SCAN, single point on PBEsol structure)
# Calculated total energy (eV per atom): -44.537
# ΔE_f (eV/atom): -0.646
data_Ca6Ge7Au15
_chemical_formula_sum 'Ca6 Ge7 Au15'
_space_group_name_H-M_alt 'P 1 m 1'
_space_group_IT_number 6
_cell_length_a 9.542
_cell_length_b 4.372
_cell_length_c 13.168
_cell_angle_alpha 90.00
_cell_angle_beta 90.72
_cell_angle_gamma 90.00
loop_
_space_group_symop_operation_xyz
'x,y,z'
'x,-y,z'
loop_
_atom_site_label
_atom_site_type_symbol
_atom_site_fract_x
_atom_site_fract_y
_atom_site_fract_z
Ca1 Ca 0.000 0.000 0.000
Ca2 Ca 0.000 0.000 0.375
Ca3 Ca 0.497 0.500 0.875
Ca4 Ca 0.502 0.500 0.188
Ca5 Ca 0.504 0.500 0.503
Ca6 Ca 0.987 0.000 0.685
Ge1 Ge 0.146 0.500 0.502
Ge2 Ge 0.228 0.500 0.310
Ge3 Ge 0.265 0.000 0.810
Ge4 Ge 0.353 0.000 0.002
Ge5 Ge 0.650 0.000 0.369
Ge6 Ge 0.776 0.500 0.065
Ge7 Ge 0.853 0.500 0.875
Au1 Au 0.003 0.500 0.187
Au2 Au 0.112 0.500 0.848
Au3 Au 0.204 0.000 0.184
Au4 Au 0.240 0.500 0.048
Au5 Au 0.263 0.000 0.549
Au6 Au 0.294 0.500 0.684
Au7 Au 0.388 0.000 0.350
Au8 Au 0.493 0.000 0.697
Au9 Au 0.614 0.000 0.026
Au10 Au 0.705 0.500 0.694
Au11 Au 0.712 0.000 0.559
Au12 Au 0.735 0.000 0.828
Au13 Au 0.764 0.500 0.322
Au14 Au 0.800 0.000 0.190
Au15 Au 0.887 0.500 0.528



Entry 2:
# MnZnHg2F (meta-GGA SCAN, single point on PBEsol structure)
# Calculated total energy (eV per atom): -34.407
# Energy relative to the elements, uncorrected (eV/atom): -0.079
data_MnZnHg2F
_chemical_formula_sum 'Mn1 Zn1 Hg2 F1'
_space_group_name_H-M_alt 'P 4/m m m'
_space_group_IT_number 123
_space_group_name_Hall '-P 4 2'
_cell_length_a 4.940
_cell_length_b 4.940
_cell_length_c 4.875
_cell_angle_alpha 90.00
_cell_angle_beta 90.00
_cell_angle_gamma 90.00
loop_
_atom_site_label
_atom_site_type_symbol
_atom_site_fract_x
_atom_site_fract_y
_atom_site_fract_z
Mn1 Mn 0.000 0.000 0.000
Zn1 Zn 0.000 0.000 0.500
Hg1 Hg 0.000 0.500 0.500
F1 F 0.500 0.500 0.000



Entry 3:
# Zn2HgIrBr (meta-GGA SCAN, single point on PBEsol structure)
# Calculated total energy (eV per atom): -36.170
# Energy relative to the elements, uncorrected (eV/atom): 0.981
data_Zn2HgIrBr
_chemical_formula_sum 'Zn2 Hg1 Ir1 Br1'
_space_group_name_H-M_alt 'P 4/m m m'
_space_group_IT_number 123
_space_group_name_Hall '-P 4 2'
_cell_length_a 4.836
_cell_length_b 4.836
_cell_length_c 5.162
_cell_angle_alpha 90.00
_cell_angle_beta 90.00
_cell_angle_gamma 90.00
loop_
_atom_site_label
_atom_site_type_symbol
_atom_site_fract_x
_atom_site_fract_y
_atom_site_fract_z
Zn1 Zn 0.000 0.500 0.000
Hg1 Hg 0.000 0.000 0.000
Ir1 Ir 0.000 0.000 0.500
Br1 Br 0.500 0.500 0.500



Entry 4:
# Sr3BeTe (meta-GGA SCAN, single point on PBEsol structure)
# Calculated total energy (eV per atom): -21.894
# Energy relative to the elements, uncorrected (eV/atom): -0.208
data_Sr3BeTe
_chemical_formula_sum 'Sr3 Be1 Te1'
_space_group_name_H-M_alt 'P m -3 m'
_space_group_IT_number 221
_space_group_name_Hall '-P 4 2 3'
_cell_length_a 5.706
_cell_length_b 5.706
_cell_length_c 5.706
_cell_angle_alpha 90.00
_cell_angle_beta 90.00
_cell_angle_gamma 90.00
loop_
_atom_site_label
_atom_site_type_symbol
_atom_site_fract_x
_atom_site_fract_y
_atom_site_fract_z
Sr1 Sr 0.000 0.000 0.500
Be1 Be 0.000 0.000 0.000
Te1 Te 0.500 0.500 0.500



DOS at the Fermi energy readings, ordered: 9.3 1.1 3.0 3.8 states/eV/cell
Total magnetic moment readings, ordered: 0.00 4.94 2.07 0.00 μB/f.u.